Entry 1:
First-principles (GGA-PBE) data for Ce3Bi4 after structural relaxation, as listed in the Alexandria database.

Its energy of formation is -0.70 eV/atom. For the total energy, the calculation gives -153.0 eV for the cell shown. The magnetization is 3.059 μB per cell.

It has space group I-43d (No. 220), with a = 9.5668 Å, b = 9.5668 Å, c = 9.5668 Å, α = 90.00°, β = 90.00° and γ = 90.00°. The asymmetric unit holds Ce at (0.0000, 0.2500, 0.3750) and Bi at (0.0787, 0.0787, 0.0787).

***

Entry 2:
First-principles (GGA-PBE) data for Ca2Ga2SnPd5 after structural relaxation, as listed in the Alexandria database.

Its energy of formation is -0.72 eV/atom. For the total energy, the calculation gives -94.5 eV for the cell shown. The magnetization is 0.000 μB per cell.

It has space group P4/mbm (No. 127), with a = 10.0508 Å, b = 10.0508 Å, c = 3.6958 Å, α = 90.00°, β = 90.00° and γ = 90.00°. The asymmetric unit holds Ca at (0.1768, 0.3232, 0.0000), Ga at (0.1210, 0.6210, 0.0000), Sn at (0.0000, 0.0000, 0.0000), Pd at (0.0000, 0.5000, 0.5000) and Pd at (0.0633, 0.7908, 0.5000).

***

Entry 3:
First-principles (GGA-PBE) data for NaTh3Sn12 after structural relaxation, as listed in the Alexandria database.

Its energy of formation is -0.36 eV/atom. For the total energy, the calculation gives -77.4 eV for the cell shown. The magnetization is 0.000 μB per cell.

It has space group P4/mmm (No. 123), with a = 4.7576 Å, b = 4.7576 Å, c = 18.9324 Å, α = 90.00°, β = 90.00° and γ = 90.00°. The asymmetric unit holds Na at (0.0000, 0.0000, 0.0000), Th at (0.0000, 0.0000, 0.2532), Th at (0.0000, 0.0000, 0.5000), Sn at (0.0000, 0.5000, 0.1225), Sn at (0.0000, 0.5000, 0.3758), Sn at (0.5000, 0.5000, 0.0000), Sn at (0.5000, 0.5000, 0.2487) and Sn at (0.5000, 0.5000, 0.5000).

***

Entry 4:
First-principles (GGA-PBE) data for Cr2CdB2 after structural relaxation, as listed in the Alexandria database.

Its energy of formation is 0.20 eV/atom. The energy above the most stable polymorph in this dataset is 0.00 kcal/mol of atoms. For the total energy, the calculation gives -65.1 eV for the cell shown. The magnetization is 4.297 μB per cell.

It has space group P4/mbm (No. 127), with a = 5.9444 Å, b = 5.9444 Å, c = 3.0430 Å, α = 90.00°, β = 90.00° and γ = 90.00°. The asymmetric unit holds Cr at (0.1610, 0.3390, 0.0000), Cd at (0.0000, 0.0000, 0.5000) and B at (0.1030, 0.6030, 0.5000).

***

Entry 5:
First-principles (GGA-PBE) data for Sr2ZrMoP after structural relaxation, as listed in the Alexandria database.

Its energy of formation is 1.14 eV/atom. For the total energy, the calculation gives -22.4 eV for the cell shown. The magnetization is 4.519 μB per cell.

It has space group P4/mmm (No. 123), with a = 6.2527 Å, b = 6.2527 Å, c = 4.9099 Å, α = 90.00°, β = 90.00° and γ = 90.00°. The asymmetric unit holds Sr at (0.0000, 0.5000, 0.0000), Zr at (0.0000, 0.0000, 0.0000), Mo at (0.5000, 0.5000, 0.5000) and P at (0.0000, 0.0000, 0.5000).

***

Entry 6:
First-principles (GGA-PBE) data for ZnRePt2 after structural relaxation, as listed in the Alexandria database.

Its energy of formation is 0.37 eV/atom. For the total energy, the calculation gives -97.3 eV for the cell shown. The magnetization is 1.444 μB per cell.

It has space group I-42d (No. 122), with a = 3.8574 Å, b = 3.8574 Å, c = 17.6967 Å, α = 90.00°, β = 90.00° and γ = 90.00°. The asymmetric unit holds Zn at (0.0000, 0.0000, 0.0000), Re at (0.0000, 0.0000, 0.5000) and Pt at (0.2493, 0.2500, 0.6250).

***

Entry 7:
First-principles (GGA-PBE) data for ZrTi3Tc after structural relaxation, as listed in the Alexandria database.

Its energy of formation is -0.04 eV/atom. The energy above the most stable polymorph in this dataset is 0.00 kcal/mol of atoms. For the total energy, the calculation gives -171.2 eV for the cell shown. The magnetization is 0.000 μB per cell.

It has space group Cmcm (No. 63), with a = 5.8005 Å, b = 11.9242 Å, c = 5.3392 Å, α = 90.00°, β = 90.00° and γ = 90.00°. The asymmetric unit holds Zr at (0.0000, 0.0893, 0.2500), Ti at (0.0000, 0.3224, 0.7500), Ti at (0.2469, 0.3577, 0.2500) and Tc at (0.0000, 0.5000, 0.0000).

***

Entry 8:
First-principles (GGA-PBE) data for Tl2AsW after structural relaxation, as listed in the Alexandria database.

Its energy of formation is 1.01 eV/atom. The energy above the most stable polymorph in this dataset is 15.54 kcal/mol of atoms. For the total energy, the calculation gives -36.6 eV for the cell shown. The magnetization is 3.314 μB per cell.

It has space group I-4m2 (No. 119), with a = 4.4202 Å, b = 4.4202 Å, c = 8.7888 Å, α = 90.00°, β = 90.00° and γ = 90.00°. The asymmetric unit holds Tl at (0.0000, 0.0000, 0.0000), Tl at (0.0000, 0.5000, 0.2500), As at (0.0000, 0.0000, 0.5000) and W at (0.0000, 0.5000, 0.7500).